Arrangement A

Below is K2SO4 at its PBEsol-relaxed geometry, with properties calculated at the meta-GGA SCAN level.

Lattice parameters (Å, degrees): 5.749 5.749 7.863 90.00 90.00 118.38
Fractional positions:
K 0.000 0.000 0.000
K 0.000 0.000 0.500
K 0.310 0.690 0.750
K 0.690 0.310 0.250
S 0.348 0.652 0.250
S 0.652 0.348 0.750
O 0.230 0.357 0.250
O 0.262 0.738 0.096
O 0.262 0.738 0.404
O 0.357 0.230 0.750
O 0.643 0.770 0.250
O 0.738 0.262 0.596
O 0.738 0.262 0.904
O 0.770 0.643 0.750

Space group ... Cmcm (63)
Crystal system ... orthorhombic
Size of the total moment ... 0.1 μB/f.u.
Theoretical density ... 2.5 g/cm³



Arrangement B

Below is K2SO4 at its PBEsol-relaxed geometry, with properties calculated at the meta-GGA SCAN level.

Lattice parameters (Å, degrees): 7.440 5.742 10.025 90.00 90.00 90.00
Fractional positions:
K 0.008 0.250 0.202
K 0.171 0.750 0.413
K 0.329 0.250 0.913
K 0.492 0.750 0.702
K 0.508 0.250 0.298
K 0.671 0.750 0.087
K 0.829 0.250 0.587
K 0.992 0.750 0.798
S 0.231 0.750 0.080
S 0.269 0.250 0.580
S 0.731 0.750 0.420
S 0.769 0.250 0.920
O 0.032 0.750 0.080
O 0.197 0.250 0.441
O 0.201 0.038 0.651
O 0.201 0.462 0.651
O 0.299 0.538 0.151
O 0.299 0.962 0.151
O 0.303 0.750 0.941
O 0.468 0.250 0.580
O 0.532 0.750 0.420
O 0.697 0.250 0.059
O 0.701 0.038 0.849
O 0.701 0.462 0.849
O 0.799 0.538 0.349
O 0.799 0.962 0.349
O 0.803 0.750 0.559
O 0.968 0.250 0.920

Space group ... Pnma (62)
Crystal system ... orthorhombic
Size of the total moment ... 0.0 μB/f.u.
Theoretical density ... 2.7 g/cm³



Which of them is the most stable? Correct choice: arrangement B.